Entry 1:
DFT (GGA-PBE) results for a geometry-optimized Pr4Zn2S structure.

a = 6.9764 Å, b = 6.9764 Å, c = 8.9017 Å
α = 123.53°, β = 123.53°, γ = 34.02°
Fractional positions:
Pr (0.0912, 0.0912, 0.3802)
Pr (0.3286, 0.3286, 0.9155)
Pr (0.6714, 0.6714, 0.0845)
Pr (0.9088, 0.9088, 0.6198)
Zn (0.3895, 0.3895, 0.3275)
Zn (0.6105, 0.6105, 0.6725)
S (0.0000, 0.0000, 0.0000)

Output
The value obtained for the uncorrected formation energy is -0.70 eV/atom. Its density is 6.1 g/cm3. As for the calculated total energy: -4.3822 eV per atom. The value obtained for the spin magnetization is 0.00 μB per formula unit.

=====

Entry 2:
DFT (GGA-PBE) results for a geometry-optimized Tm2ScIn3 structure.

a = 3.4651 Å, b = 3.4651 Å, c = 12.2777 Å
α = 90.00°, β = 90.00°, γ = 90.00°
Fractional positions:
Tm (0.0000, 0.0000, 0.1710)
Tm (0.0000, 0.0000, 0.8290)
Sc (0.0000, 0.0000, 0.5000)
In (0.5000, 0.5000, 0.0000)
In (0.5000, 0.5000, 0.3431)
In (0.5000, 0.5000, 0.6569)

Output
Its density is 8.2 g/cm3. As for the calculated total energy: -4.3366 eV per atom. The value obtained for the spin magnetization is 0.00 μB per formula unit. As for the energy of formation: -422 meV per atom.

=====

Look up the calculated total energy of the second one.
-4.3366 eV per atom